[1]
First-principles (PBE) data for an optimized crystal structure of Na2SrCo, as listed in Alexandria via LeMat-Bulk. Values from VASP.

Quantum ESPRESSO input file:
```
&SYSTEM
  ibrav = 0, nat = 4, ntyp = 3
/
ATOMIC_SPECIES
Na 22.99 Na.upf
Sr 87.62 Sr.upf
Co 58.93 Co.upf
ATOMIC_POSITIONS angstrom
Na 5.7423 5.7423 5.7423
Na 1.9141 1.9141 1.9141
Sr 3.8282 3.8282 3.8282
Co 0.0000 0.0000 0.0000
CELL_PARAMETERS angstrom
0.0000 3.8282 3.8282
3.8282 0.0000 3.8282
3.8282 3.8282 0.0000
```

E above lowest polymorph (meV per atom): 70
Energy of formation (eV per atom): 0.648
Space-group type: Fm-3m (225)
Total magnetic moment (μB per cell): 1.3
Final energy (eV per atom): -2.2083

***

[2]
First-principles (PBE) data for an optimized crystal structure of NaTaCo2, as listed in Alexandria via LeMat-Bulk. Values from VASP.

Quantum ESPRESSO input file:
```
&SYSTEM
  ibrav = 0, nat = 4, ntyp = 3
/
ATOMIC_SPECIES
Co 58.93 Co.upf
Ta 180.95 Ta.upf
Na 22.99 Na.upf
ATOMIC_POSITIONS angstrom
Co 4.5548 4.5548 4.5548
Co 1.5183 1.5183 1.5183
Ta 3.0365 3.0365 3.0365
Na 0.0000 0.0000 0.0000
CELL_PARAMETERS angstrom
0.0000 3.0365 3.0365
3.0365 0.0000 3.0365
3.0365 3.0365 0.0000
```

E above lowest polymorph (meV per atom): 0
Energy of formation (eV per atom): 0.462
Space-group type: Fm-3m (225)
Total magnetic moment (μB per cell): 0.0
Final energy (eV per atom): -6.3836

***

[3]
First-principles (PBE) data for an optimized crystal structure of NaTaCo2, as listed in Alexandria via LeMat-Bulk. Values from VASP.

Quantum ESPRESSO input file:
```
&SYSTEM
  ibrav = 0, nat = 8, ntyp = 3
/
ATOMIC_SPECIES
Co 58.93 Co.upf
Ta 180.95 Ta.upf
Na 22.99 Na.upf
ATOMIC_POSITIONS angstrom
Co 5.2326 1.6808 0.7070
Co 5.0423 4.8520 2.1209
Co 1.4905 5.0423 0.7070
Co 8.4038 8.5941 2.1209
Ta 6.7230 3.3615 1.4140
Ta 0.0000 0.0000 0.0000
Na 3.3615 3.3615 0.0000
Na 3.3615 6.7230 1.4140
CELL_PARAMETERS angstrom
6.7230 0.0000 0.0000
0.0000 6.7230 0.0000
3.3615 3.3615 2.8279
```

E above lowest polymorph (meV per atom): 334
Energy of formation (eV per atom): 0.797
Space-group type: I-42d (122)
Total magnetic moment (μB per cell): 0.0
Final energy (eV per atom): -6.0493

***

[4]
First-principles (PBE) data for an optimized crystal structure of Na2TaCo, as listed in Alexandria via LeMat-Bulk. Values from VASP.

Quantum ESPRESSO input file:
```
&SYSTEM
  ibrav = 0, nat = 4, ntyp = 3
/
ATOMIC_SPECIES
Na 22.99 Na.upf
Co 58.93 Co.upf
Ta 180.95 Ta.upf
ATOMIC_POSITIONS angstrom
Na -7.6755 3.2565 -2.4799
Na -2.5585 1.0855 -0.8266
Co 0.0000 0.0000 0.0000
Ta -5.1170 2.1710 -1.6533
CELL_PARAMETERS angstrom
-4.5459 -1.0258 -0.8381
-3.3690 3.1658 1.0235
-2.3191 2.2020 -3.4919
```

E above lowest polymorph (meV per atom): 336
Energy of formation (eV per atom): 1.650
Space-group type: Fm-3m (225)
Total magnetic moment (μB per cell): 1.5
Final energy (eV per atom): -3.7492

***

[5]
First-principles (PBE) data for an optimized crystal structure of NaTa2Co, as listed in Alexandria via LeMat-Bulk. Values from VASP.

Quantum ESPRESSO input file:
```
&SYSTEM
  ibrav = 0, nat = 8, ntyp = 3
/
ATOMIC_SPECIES
Co 58.93 Co.upf
Na 22.99 Na.upf
Ta 180.95 Ta.upf
ATOMIC_POSITIONS angstrom
Co 0.0000 0.0000 0.0000
Co -5.5626 -0.1976 -3.2057
Na -0.8549 -1.7056 -2.0155
Na -5.8674 -2.2382 -1.3495
Ta -8.8096 -2.3288 -3.9234
Ta -2.9299 -0.0083 -2.6488
Ta -7.9080 -0.4721 -1.9015
Ta -3.2126 -2.0624 -0.6365
CELL_PARAMETERS angstrom
-0.5500 0.3349 -3.8717
-1.1597 -3.7462 -0.1593
-9.7203 0.9755 -0.5242
```

E above lowest polymorph (meV per atom): 337
Energy of formation (eV per atom): 1.167
Space-group type: I-42d (122)
Total magnetic moment (μB per cell): 0.0
Final energy (eV per atom): -6.8652

***

[6]
First-principles (PBE) data for an optimized crystal structure of NaTa2Co, as listed in Alexandria via LeMat-Bulk. Values from VASP.

Quantum ESPRESSO input file:
```
&SYSTEM
  ibrav = 0, nat = 4, ntyp = 3
/
ATOMIC_SPECIES
Co 58.93 Co.upf
Ta 180.95 Ta.upf
Na 22.99 Na.upf
ATOMIC_POSITIONS angstrom
Co -5.2880 1.3498 0.6277
Ta -2.6440 0.6749 0.3139
Ta -7.9319 2.0248 0.9416
Na 0.0000 0.0000 0.0000
CELL_PARAMETERS angstrom
-3.4164 0.1720 2.9014
-2.9794 3.3444 -0.2393
-4.1801 -0.8167 -1.4066
```

E above lowest polymorph (meV per atom): 0
Energy of formation (eV per atom): 0.830
Space-group type: Fm-3m (225)
Total magnetic moment (μB per cell): 0.0
Final energy (eV per atom): -7.2025

***

[7]
First-principles (PBE) data for an optimized crystal structure of Na2TaCo, as listed in Alexandria via LeMat-Bulk. Values from VASP.

Quantum ESPRESSO input file:
```
&SYSTEM
  ibrav = 0, nat = 8, ntyp = 3
/
ATOMIC_SPECIES
Na 22.99 Na.upf
Co 58.93 Co.upf
Ta 180.95 Ta.upf
ATOMIC_POSITIONS angstrom
Na -0.3784 -6.6970 0.5184
Na 2.9591 -5.8744 4.9176
Na 2.3668 -15.3273 6.1136
Na 1.9096 -9.8056 5.4278
Co 3.6225 -7.9531 6.7449
Co 1.7327 -6.2906 2.3833
Ta 0.0000 0.0000 0.0000
Ta -0.1940 -10.8990 1.7438
CELL_PARAMETERS angstrom
-2.0837 -9.2366 -2.6178
5.5492 -3.3447 7.3843
-0.0370 -6.2709 3.7222
```

E above lowest polymorph (meV per atom): 0
Energy of formation (eV per atom): 1.314
Space-group type: I-42d (122)
Total magnetic moment (μB per cell): 0.6
Final energy (eV per atom): -4.0856

***

[8]
First-principles (PBE) data for an optimized crystal structure of NaTa2TlCo, as listed in Alexandria via LeMat-Bulk. Values from VASP.

Quantum ESPRESSO input file:
```
&SYSTEM
  ibrav = 0, nat = 5, ntyp = 4
/
ATOMIC_SPECIES
Ta 180.95 Ta.upf
Tl 204.38 Tl.upf
Na 22.99 Na.upf
Co 58.93 Co.upf
ATOMIC_POSITIONS angstrom
Ta -0.9004 -1.9933 1.3728
Ta -2.2184 0.0940 -1.3185
Tl 0.0000 0.0000 0.0000
Na 0.9141 -1.5482 -1.6485
Co -2.2047 -3.4475 -1.5942
CELL_PARAMETERS angstrom
-4.4368 0.1881 -2.6370
1.8283 -3.0965 -3.2969
-1.8008 -3.9866 2.7456
```

Energy of formation (eV per atom): 2.399
Space-group type: P4/mmm (123)
Total magnetic moment (μB per cell): 0.7
Final energy (eV per atom): -4.4999

***

[9]
First-principles (PBE) data for an optimized crystal structure of Na2YTaCo, as listed in Alexandria via LeMat-Bulk. Values from VASP.

Quantum ESPRESSO input file:
```
&SYSTEM
  ibrav = 0, nat = 5, ntyp = 4
/
ATOMIC_SPECIES
Na 22.99 Na.upf
Y 88.91 Y.upf
Ta 180.95 Ta.upf
Co 58.93 Co.upf
ATOMIC_POSITIONS angstrom
Na -1.7031 0.4136 1.7450
Na 1.1820 -1.5509 1.5212
Y 0.0000 0.0000 0.0000
Ta -1.3695 -1.9107 -0.8838
Co -1.8906 -3.0480 2.3823
CELL_PARAMETERS angstrom
-3.4061 0.8271 3.4900
-2.7391 -3.8213 -1.7676
2.3640 -3.1018 3.0423
```

Energy of formation (eV per atom): 2.239
Space-group type: P4/mmm (123)
Total magnetic moment (μB per cell): 0.0
Final energy (eV per atom): -3.3734

***

[10]
First-principles (PBE) data for an optimized crystal structure of Na2TaZnCo, as listed in Alexandria via LeMat-Bulk. Values from VASP.

Quantum ESPRESSO input file:
```
&SYSTEM
  ibrav = 0, nat = 5, ntyp = 4
/
ATOMIC_SPECIES
Zn 65.41 Zn.upf
Na 22.99 Na.upf
Ta 180.95 Ta.upf
Co 58.93 Co.upf
ATOMIC_POSITIONS angstrom
Zn 0.0000 0.0000 0.0000
Na 1.7097 -1.6428 0.2322
Na -0.2180 0.1081 2.3700
Ta -1.7682 -1.8513 -0.0782
Co -0.2765 -3.3860 2.5240
CELL_PARAMETERS angstrom
-0.4360 0.2163 4.7399
-3.5365 -3.7026 -0.1563
3.4195 -3.2856 0.4645
```

Energy of formation (eV per atom): 1.466
Space-group type: P4/mmm (123)
Total magnetic moment (μB per cell): 0.7
Final energy (eV per atom): -3.1079

***

[11]
First-principles (PBE) data for an optimized crystal structure of NaTbCo4, as listed in Alexandria via LeMat-Bulk. Values from VASP.

Quantum ESPRESSO input file:
```
&SYSTEM
  ibrav = 0, nat = 6, ntyp = 3
/
ATOMIC_SPECIES
Na 22.99 Na.upf
Tb 158.93 Tb.upf
Co 58.93 Co.upf
ATOMIC_POSITIONS angstrom
Na 0.0000 0.0000 0.0000
Tb -2.2043 0.3639 2.1230
Co -3.0273 0.7843 4.9251
Co -4.5127 1.8533 3.1996
Co -5.5102 0.9097 5.3070
Co -4.5841 -0.6360 3.5521
CELL_PARAMETERS angstrom
-1.8530 3.0929 3.5113
-4.9681 0.2508 0.7640
-1.9960 -1.8881 4.2166
```

Energy of formation (eV per atom): 0.113
Space-group type: F-43m (216)
Total magnetic moment (μB per cell): 5.7
Final energy (eV per atom): -5.6163

***

[12]
First-principles (PBE) data for an optimized crystal structure of NaTb12Co6, as listed in Alexandria via LeMat-Bulk. Values from VASP.

Quantum ESPRESSO input file:
```
&SYSTEM
  ibrav = 0, nat = 19, ntyp = 3
/
ATOMIC_SPECIES
Na 22.99 Na.upf
Tb 158.93 Tb.upf
Co 58.93 Co.upf
ATOMIC_POSITIONS angstrom
Na 0.0000 0.0000 0.0000
Tb -1.3274 3.1582 4.9660
Tb -2.9088 -1.6043 6.2080
Tb 0.2341 -0.0527 6.0282
Tb 1.7697 -3.2585 4.7589
Tb -0.9228 -5.1468 3.0093
Tb 3.7706 -0.0584 4.7091
Tb 4.2357 -4.8553 2.8388
Tb -0.8623 -1.6387 3.0956
Tb 2.6742 -1.6445 1.7766
Tb 3.8312 3.4496 4.7955
Tb 1.1386 1.5614 3.0459
Tb 5.8171 -0.0928 1.5967
Co 1.4557 2.5228 5.4859
Co 4.8091 -2.3003 3.1875
Co -1.1002 -3.2363 5.1861
Co 1.4527 -4.2200 2.3189
Co -1.9007 0.6031 4.6172
Co 4.0086 1.5391 2.6187
CELL_PARAMETERS angstrom
-4.1862 -6.6725 3.1949
8.3006 -1.7878 -0.3960
-1.2060 6.7631 5.0059
```

Energy of formation (eV per atom): -0.137
Space-group type: Im-3 (204)
Total magnetic moment (μB per cell): 0.0
Final energy (eV per atom): -5.3748